No. 1
A plane-wave DFT calculation with PBE was carried out for an optimized crystal structure of NdSn3Pd2.

Output
energy of formation from the pure elements = -0.6046 eV/atom
N(E_F) = 0.50 states/eV/atom
density = 8.592 g/cm³
magnetization = 0.0000 μB per atom

```
data_NdSn3Pd2
_space_group_name_H-M_alt 'P 1'
_space_group_IT_number 1
_space_group_name_Hall 'P 1'
_cell_length_a 8.729
_cell_length_b 8.729
_cell_length_c 8.075
_cell_angle_alpha 114.54
_cell_angle_beta 114.54
_cell_angle_gamma 29.74
loop_
_atom_site_label
_atom_site_type_symbol
_atom_site_fract_x
_atom_site_fract_y
_atom_site_fract_z
_atom_site_occupancy
Nd1 Nd 0.123 0.123 0.140 1
Nd2 Nd 0.877 0.877 0.860 1
Sn1 Sn 0.037 0.037 0.689 1
Sn2 Sn 0.324 0.324 0.111 1
Sn3 Sn 0.332 0.332 0.526 1
Sn4 Sn 0.668 0.668 0.474 1
Sn5 Sn 0.676 0.676 0.889 1
Sn6 Sn 0.963 0.963 0.311 1
Pd1 Pd 0.215 0.215 0.714 1
Pd2 Pd 0.498 0.498 0.826 1
Pd3 Pd 0.502 0.502 0.174 1
Pd4 Pd 0.785 0.785 0.286 1
```


No. 2
A plane-wave DFT calculation with PBE was carried out for an optimized crystal structure of Be3TlCl.

Output
N(E_F) = 0.00 states/eV/atom
density = 4.402 g/cm³
magnetization = 0.0000 μB per atom
ΔE_f (raw) = 824 meV per atom

```
data_Be3TlCl
_space_group_name_H-M_alt 'P 1'
_space_group_IT_number 1
_space_group_name_Hall 'P 1'
_cell_length_a 4.652
_cell_length_b 4.652
_cell_length_c 4.652
_cell_angle_alpha 90.00
_cell_angle_beta 90.00
_cell_angle_gamma 90.00
loop_
_atom_site_label
_atom_site_type_symbol
_atom_site_fract_x
_atom_site_fract_y
_atom_site_fract_z
_atom_site_occupancy
Be1 Be 0.000 0.000 0.500 1
Be2 Be 0.000 0.500 0.000 1
Be3 Be 0.500 0.000 0.000 1
Tl1 Tl 0.000 0.000 0.000 1
Cl1 Cl 0.500 0.500 0.500 1
```


No. 3
A plane-wave DFT calculation with PBE was carried out for an optimized crystal structure of PuTcAs.

Output
energy of formation from the pure elements = -0.2986 eV/atom
N(E_F) = 2.00 states/eV/atom
density = 12.291 g/cm³
magnetization = 1.7530 μB per atom

```
data_PuTcAs
_space_group_name_H-M_alt 'P 1'
_space_group_IT_number 1
_space_group_name_Hall 'P 1'
_cell_length_a 5.908
_cell_length_b 5.908
_cell_length_c 5.908
_cell_angle_alpha 148.43
_cell_angle_beta 148.43
_cell_angle_gamma 45.25
loop_
_atom_site_label
_atom_site_type_symbol
_atom_site_fract_x
_atom_site_fract_y
_atom_site_fract_z
_atom_site_occupancy
Pu1 Pu 0.000 0.000 0.000 1
Tc1 Tc 0.308 0.308 0.000 1
As1 As 0.702 0.702 0.000 1
```


No. 4
A plane-wave DFT calculation with PBE was carried out for an optimized crystal structure of SiIrOs2.

Output
N(E_F) = 0.42 states/eV/atom
density = 17.835 g/cm³
magnetization = 0.0000 μB per atom
ΔE_f (raw) = -58 meV per atom

```
data_SiIrOs2
_space_group_name_H-M_alt 'P 1'
_space_group_IT_number 1
_space_group_name_Hall 'P 1'
_cell_length_a 4.880
_cell_length_b 4.880
_cell_length_c 4.638
_cell_angle_alpha 110.83
_cell_angle_beta 110.83
_cell_angle_gamma 33.04
loop_
_atom_site_label
_atom_site_type_symbol
_atom_site_fract_x
_atom_site_fract_y
_atom_site_fract_z
_atom_site_occupancy
Si1 Si 0.000 0.000 0.000 1
Ir1 Ir 0.267 0.267 0.888 1
Os1 Os 0.473 0.473 0.527 1
Os2 Os 0.712 0.712 0.361 1
```


No. 5
A plane-wave DFT calculation with PBE was carried out for an optimized crystal structure of GdEr2Hf.

Output
energy of formation from the pure elements = 0.2089 eV/atom
N(E_F) = 2.22 states/eV/atom
density = 9.654 g/cm³
magnetization = 1.9019 μB per atom

```
data_GdEr2Hf
_space_group_name_H-M_alt 'P 1'
_space_group_IT_number 1
_space_group_name_Hall 'P 1'
_cell_length_a 3.933
_cell_length_b 3.933
_cell_length_c 7.455
_cell_angle_alpha 90.00
_cell_angle_beta 90.00
_cell_angle_gamma 90.00
loop_
_atom_site_label
_atom_site_type_symbol
_atom_site_fract_x
_atom_site_fract_y
_atom_site_fract_z
_atom_site_occupancy
Gd1 Gd 0.000 0.000 0.000 1
Er1 Er 0.500 0.500 0.281 1
Er2 Er 0.500 0.500 0.719 1
Hf1 Hf 0.000 0.000 0.500 1
```


No. 6
A plane-wave DFT calculation with PBE was carried out for an optimized crystal structure of K2SrPaSe4.

Output
N(E_F) = 0.66 states/eV/atom
density = 4.605 g/cm³
magnetization = 0.1250 μB per atom
ΔE_f (raw) = -1562 meV per atom

```
data_K2SrPaSe4
_space_group_name_H-M_alt 'P 1'
_space_group_IT_number 1
_space_group_name_Hall 'P 1'
_cell_length_a 7.654
_cell_length_b 4.379
_cell_length_c 8.067
_cell_angle_alpha 90.00
_cell_angle_beta 108.08
_cell_angle_gamma 90.00
loop_
_atom_site_label
_atom_site_type_symbol
_atom_site_fract_x
_atom_site_fract_y
_atom_site_fract_z
_atom_site_occupancy
K1 K 0.000 0.000 0.000 1
K2 K 0.500 0.500 0.000 1
Sr1 Sr 0.000 0.500 0.500 1
Pa1 Pa 0.500 0.000 0.500 1
Se1 Se 0.263 0.000 0.711 1
Se2 Se 0.283 0.500 0.293 1
Se3 Se 0.717 0.500 0.707 1
Se4 Se 0.737 0.000 0.289 1
```


No. 7
A plane-wave DFT calculation with PBE was carried out for an optimized crystal structure of Sc2Te2Se.

Output
N(E_F) = 0.07 states/eV/atom
density = 4.964 g/cm³
magnetization = 0.0000 μB per atom
ΔE_f (raw) = -1262 meV per atom

```
data_Sc2Te2Se
_space_group_name_H-M_alt 'P 1'
_space_group_IT_number 1
_space_group_name_Hall 'P 1'
_cell_length_a 8.043
_cell_length_b 5.927
_cell_length_c 11.905
_cell_angle_alpha 90.00
_cell_angle_beta 90.00
_cell_angle_gamma 90.00
loop_
_atom_site_label
_atom_site_type_symbol
_atom_site_fract_x
_atom_site_fract_y
_atom_site_fract_z
_atom_site_occupancy
Sc1 Sc 0.083 0.250 0.245 1
Sc2 Sc 0.155 0.250 0.577 1
Sc3 Sc 0.345 0.750 0.077 1
Sc4 Sc 0.417 0.750 0.745 1
Sc5 Sc 0.583 0.250 0.255 1
Sc6 Sc 0.655 0.250 0.923 1
Sc7 Sc 0.845 0.750 0.423 1
Sc8 Sc 0.917 0.750 0.755 1
Te1 Te 0.065 0.750 0.224 1
Te2 Te 0.155 0.750 0.567 1
Te3 Te 0.345 0.250 0.067 1
Te4 Te 0.435 0.250 0.724 1
Te5 Te 0.565 0.750 0.276 1
Te6 Te 0.655 0.750 0.933 1
Te7 Te 0.845 0.250 0.433 1
Te8 Te 0.935 0.250 0.776 1
Se1 Se 0.177 0.750 0.894 1
Se2 Se 0.323 0.250 0.394 1
Se3 Se 0.677 0.750 0.606 1
Se4 Se 0.823 0.250 0.106 1
```


No. 8
A plane-wave DFT calculation with PBE was carried out for an optimized crystal structure of W2AuSe.

Output
N(E_F) = 1.02 states/eV/atom
density = 14.675 g/cm³
magnetization = 0.0000 μB per atom
ΔE_f (raw) = 308 meV per atom

```
data_W2AuSe
_space_group_name_H-M_alt 'P 1'
_space_group_IT_number 1
_space_group_name_Hall 'P 1'
_cell_length_a 9.580
_cell_length_b 9.580
_cell_length_c 9.580
_cell_angle_alpha 17.94
_cell_angle_beta 17.94
_cell_angle_gamma 17.94
loop_
_atom_site_label
_atom_site_type_symbol
_atom_site_fract_x
_atom_site_fract_y
_atom_site_fract_z
_atom_site_occupancy
W1 W 0.000 0.000 0.000 1
W2 W 0.252 0.252 0.252 1
Au1 Au 0.747 0.747 0.747 1
Se1 Se 0.521 0.521 0.521 1
```


Which calculated volume belongs to each record? In order, 23.0; 20.1; 18.8; 14.0; 28.8; 32.1; 28.4; 18.2 Å³ per atom.